1.
A relaxed SbAsSeBr2 crystal, computed with PBEsol.

Cell lengths 5.3667, 5.3667, 5.5405 Å; angles 90.00, 90.00, 90.00 degrees
With the nearest neighbours (Å) after each atom.
Space group P4/mmm (No. 123)
Asymmetric unit:
Sb  0.0000  0.0000  0.0000  4 Br 2.68, 2 Se 2.77
As  0.5000  0.5000  0.5000  4 Se 3.79, 8 Br 3.86
Se  0.0000  0.0000  0.5000  2 Sb 2.77
Br  0.0000  0.5000  0.0000  2 Sb 2.68



2.
A relaxed Sr2SbAsBr crystal, computed with PBEsol.

Cell lengths 5.7983, 5.7983, 4.9972 Å; angles 90.00, 90.00, 90.00 degrees
With the nearest neighbours (Å) after each atom.
Space group P4/mmm (No. 123)
Asymmetric unit:
Sr  0.0000  0.5000  0.0000  2 Br 2.90
Sb  0.0000  0.0000  0.5000  8 Sr 3.83, 4 As 4.10
As  0.5000  0.5000  0.5000  2 Br 2.50
Br  0.5000  0.5000  0.0000  2 As 2.50



3.
A relaxed TcSbAs2Br crystal, computed with PBEsol.

Cell lengths 4.6980, 4.6980, 5.2268 Å; angles 90.00, 90.00, 90.00 degrees
With the nearest neighbours (Å) after each atom.
Space group P4/mmm (No. 123)
Asymmetric unit:
Tc  0.0000  0.0000  0.0000  4 As 2.35, 2 Br 2.61
Sb  0.5000  0.5000  0.5000  4 Br 3.32, 8 As 3.51
As  0.0000  0.5000  0.0000  2 Tc 2.35
Br  0.0000  0.0000  0.5000  2 Tc 2.61



4.
A relaxed SbAs2WBr crystal, computed with PBEsol.

Cell lengths 4.9036, 4.9036, 4.9257 Å; angles 90.00, 90.00, 90.00 degrees
With the nearest neighbours (Å) after each atom.
Space group P4/mmm (No. 123)
Asymmetric unit:
Sb  0.0000  0.0000  0.0000  4 Br 3.47, 8 As 3.48
As  0.0000  0.5000  0.5000  2 W 2.45
W  0.5000  0.5000  0.5000  4 As 2.45, 2 Br 2.46
Br  0.5000  0.5000  0.0000  2 W 2.46



5.
A relaxed YSbAsBr2 crystal, computed with PBEsol.

Cell lengths 5.3206, 5.3206, 5.4868 Å; angles 90.00, 90.00, 90.00 degrees
With the nearest neighbours (Å) after each atom.
Space group P4/mmm (No. 123)
Asymmetric unit:
Y  0.0000  0.0000  0.0000  4 As 3.76, 8 Br 3.82
Sb  0.5000  0.5000  0.5000  4 Br 2.66, 2 As 2.74
As  0.5000  0.5000  0.0000  2 Sb 2.74
Br  0.0000  0.5000  0.5000  2 Sb 2.66



6.
A relaxed Zr2SbAsBr crystal, computed with PBEsol.

Cell lengths 4.9302, 4.9302, 5.3031 Å; angles 90.00, 90.00, 90.00 degrees
With the nearest neighbours (Å) after each atom.
Space group P4/mmm (No. 123)
Asymmetric unit:
Zr  0.0000  0.5000  0.0000  2 Br 2.47
Sb  0.0000  0.0000  0.5000  2 Br 2.65
As  0.5000  0.5000  0.5000  4 Sb 3.49, 8 Zr 3.62
Br  0.0000  0.0000  0.0000  4 Zr 2.47, 2 Sb 2.65



7.
A relaxed ZrSbAsBr2 crystal, computed with PBEsol.

Results
- energy above the lowest structure with this stoichiometry (meV per atom) = 812

Cell lengths 5.2602, 5.2602, 5.4491 Å; angles 90.00, 90.00, 90.00 degrees
With the nearest neighbours (Å) after each atom.
Space group P4/mmm (No. 123)
Asymmetric unit:
Zr  0.0000  0.0000  0.0000  4 As 3.72, 8 Br 3.79
Sb  0.5000  0.5000  0.5000  4 Br 2.63, 2 As 2.72
As  0.5000  0.5000  0.0000  2 Sb 2.72
Br  0.0000  0.5000  0.5000  2 Sb 2.63



8.
A relaxed ZrSbAsBr2 crystal, computed with PBEsol.

Results
- energy above the lowest structure with this stoichiometry (meV per atom) = 0

Cell lengths 5.0833, 5.0833, 5.4758 Å; angles 90.00, 90.00, 90.00 degrees
With the nearest neighbours (Å) after each atom.
Space group P4/mmm (No. 123)
Asymmetric unit:
Zr  0.0000  0.0000  0.0000  4 Br 2.54, 2 As 2.74
Sb  0.5000  0.5000  0.5000  4 As 3.59, 8 Br 3.74
As  0.0000  0.0000  0.5000  2 Zr 2.74
Br  0.0000  0.5000  0.0000  2 Zr 2.54



9.
A relaxed ScAsBr2 crystal, computed with PBEsol.

Results
- energy above the lowest structure with this stoichiometry (meV per atom) = 228

Cell lengths 9.4557, 9.4557, 5.2385 Å; angles 90.00, 90.00, 90.00 degrees
With the nearest neighbours (Å) after each atom.
Space group I-42d (No. 122)
Asymmetric unit:
Sc  0.0000  0.0000  0.0000  2 As 2.62, 4 Br 2.65
As  0.0000  0.0000  0.5000  2 Sc 2.62
Br  0.1059  0.2500  0.1250  2 Sc 2.65



10.
A relaxed ScAsBr crystal, computed with PBEsol.

Results
- energy above the lowest structure with this stoichiometry (meV per atom) = 76

Cell lengths 3.2089, 3.2089, 13.0198 Å; angles 90.00, 90.00, 90.00 degrees
With the nearest neighbours (Å) after each atom.
Space group I4mm (No. 107)
Asymmetric unit:
Sc  0.0000  0.0000  0.0000  4 Br 2.85, 4 As 2.87
As  0.0000  0.0000  0.6347  4 Sc 2.87, 4 As 3.21
Br  0.0000  0.0000  0.3676  4 Sc 2.85



11.
A relaxed ScAsBr crystal, computed with PBEsol.

Results
- energy above the lowest structure with this stoichiometry (meV per atom) = 0

Cell lengths 3.5296, 3.5296, 6.6727 Å; angles 90.00, 90.00, 120.00 degrees
With the nearest neighbours (Å) after each atom.
Space group P3m1 (No. 156)
Asymmetric unit:
Sc  0.0000  0.0000  0.0000  3 Br 2.69, 3 As 2.71
As  0.3333  0.6667  0.7312  3 Sc 2.71
Br  0.6667  0.3333  0.2637  3 Sc 2.69



12.
A relaxed ScAsBr2 crystal, computed with PBEsol.

Results
- energy above the lowest structure with this stoichiometry (meV per atom) = 585

Cell lengths 4.4449, 4.4449, 4.4253 Å; angles 90.00, 90.00, 90.00 degrees
With the nearest neighbours (Å) after each atom.
Space group P4/mmm (No. 123)
Asymmetric unit:
Sc  0.0000  0.0000  0.0000  8 Br 3.14, 4 As 3.14
As  0.5000  0.5000  0.0000  8 Br 3.14, 4 Sc 3.14
Br  0.0000  0.5000  0.5000  4 As 3.14, 4 Sc 3.14, 4 Br 3.14



Computed values of DFT total energy (unit: eV/cell) for the preceding records, in sequence: -15.06, -17.31, -25.58, -27.29, -19.95, -26.19, -19.19, -23.25, -72.50, -32.39, -16.42, -16.70.